PuZrNiO6 GGA+U optimized geometry; total DFT energy (no corrections) = -8.419 eV per atom; space group = No. 163; calculated volume = 232 Å³/cell
1.0
5.505 0.000 0.000
-2.752 4.767 0.000
0.000 0.000 8.842
Pu Zr Ni O
2 2 2 12
direct
0.667 0.333 0.250 Pu
0.333 0.667 0.750 Pu
0.333 0.667 0.250 Zr
0.667 0.333 0.750 Zr
0.000 0.000 0.000 Ni
0.000 0.000 0.500 Ni
0.663 0.655 0.130 O
0.993 0.337 0.130 O
0.337 0.993 0.630 O
0.007 0.663 0.870 O
0.345 0.337 0.370 O
0.993 0.655 0.370 O
0.655 0.993 0.870 O
0.663 0.007 0.370 O
0.007 0.345 0.630 O
0.345 0.007 0.130 O
0.655 0.663 0.630 O
0.337 0.345 0.870 O